Record 1
A plane-wave DFT calculation with PBE-GGA was carried out for Hg2Ge2Mo after structural relaxation.

The structure in POSCAR format:
```
Hg2Ge2Mo
1.0
-1.0610 2.1684 6.4820
5.8493 -3.1055 1.9963
2.1015 3.4397 -0.8067
Mo Ge Hg
2 4 4
Direct
0.0000 0.0000 0.0000 Mo
0.5000 0.5000 0.0000 Mo
0.3488 0.8488 0.0000 Ge
0.8488 0.6512 0.0000 Ge
0.6512 0.1512 0.0000 Ge
0.1512 0.3488 0.0000 Ge
0.1623 0.6623 0.5000 Hg
0.6623 0.8377 0.5000 Hg
0.8377 0.3377 0.5000 Hg
0.3377 0.1623 0.5000 Hg
```

Summary:
Symmetry ... P4/mbm
Energy of formation from the pure elements ... 0.50 eV per atom
Spin magnetization ... 0.000 μB/f.u.
DFT total energy ... -36.4 eV for the cell shown
Energy above the lowest structure with this stoichiometry ... 0.000 eV/atom
Volume ... 196.7 Å³ per cell

---

Record 2
A plane-wave DFT calculation with PBE-GGA was carried out for Sm4Zn5Pt6 after structural relaxation.

The structure in POSCAR format:
```
Sm4Zn5Pt6
1.0
-0.0633 3.8297 1.4107
-8.3205 -4.0221 4.6407
8.5308 -4.1639 11.6865
Sm Zn Pt
8 10 12
Direct
0.9645 0.9291 0.2741 Sm
0.0355 0.0709 0.7741 Sm
0.1601 0.3201 0.3015 Sm
0.8399 0.6799 0.8015 Sm
0.8133 0.6266 0.4396 Sm
0.1867 0.3734 0.9396 Sm
0.0092 0.0184 0.5141 Sm
0.9908 0.9816 0.0141 Sm
0.4446 0.8892 0.6762 Zn
0.5554 0.1108 0.1762 Zn
0.1537 0.3075 0.6292 Zn
0.8463 0.6925 0.1292 Zn
0.6404 0.2809 0.4833 Zn
0.3596 0.7191 0.9833 Zn
0.3059 0.6119 0.6117 Zn
0.6941 0.3881 0.1117 Zn
0.3385 0.6770 0.2713 Zn
0.6615 0.3230 0.7713 Zn
0.7628 0.5257 0.2558 Pt
0.4204 0.8409 0.4106 Pt
0.7834 0.5669 0.9848 Pt
0.2166 0.4331 0.4848 Pt
0.4449 0.8898 0.8575 Pt
0.5551 0.1102 0.3575 Pt
0.4262 0.8525 0.1344 Pt
0.5738 0.1475 0.6344 Pt
0.1147 0.2294 0.1117 Pt
0.8853 0.7706 0.6117 Pt
0.5796 0.1591 0.9106 Pt
0.2372 0.4743 0.7558 Pt
```

Summary:
Symmetry ... Cmc2_1
Energy of formation from the pure elements ... -0.82 eV per atom
Spin magnetization ... 0.000 μB/f.u.
DFT total energy ... -147.5 eV for the cell shown
Volume ... 623.0 Å³ per cell

---

Record 3
A plane-wave DFT calculation with PBE-GGA was carried out for CaPm2MgAg4 after structural relaxation.

The structure in POSCAR format:
```
CaPm2MgAg4
1.0
5.1478 0.0000 0.0000
2.5739 4.4581 0.0000
2.5739 1.4860 8.3686
Ca Pm Mg Ag
1 2 1 4
Direct
0.0000 0.0000 0.0000 Ca
0.7534 0.7534 0.7398 Pm
0.2466 0.2466 0.2602 Pm
0.5000 0.5000 0.5000 Mg
0.3789 0.3789 0.8633 Ag
0.8744 0.8744 0.3767 Ag
0.1256 0.1256 0.6233 Ag
0.6211 0.6211 0.1367 Ag
```

Summary:
Symmetry ... R-3m
Energy of formation from the pure elements ... -0.29 eV per atom
Spin magnetization ... 0.000 μB/f.u.
DFT total energy ... -26.8 eV for the cell shown
Volume ... 192.1 Å³ per cell

---

Record 4
A plane-wave DFT calculation with PBE-GGA was carried out for Er2ZnCl after structural relaxation.

The structure in POSCAR format:
```
Er2ZnCl
1.0
-3.3243 1.0917 0.3397
-1.8279 -0.8060 2.8927
1.0582 7.3707 4.8585
Er Zn Cl
2 1 1
Direct
0.0834 0.0834 0.7499 Er
0.2502 0.2502 0.2493 Er
0.6671 0.6671 0.9986 Zn
0.4993 0.4993 0.5022 Cl
```

Summary:
Symmetry ... R3m
Formation energy without anion corrections ... -731 meV per atom
Spin magnetization ... 0.000 μB/f.u.
DFT total energy ... -15.2 eV for the cell shown
Energy above the lowest structure with this stoichiometry ... 0.000 eV/atom
Volume ... 92.6 Å³ per cell

---

Record 5
A plane-wave DFT calculation with PBE-GGA was carried out for Rb2SrI after structural relaxation.

The structure in POSCAR format:
```
Rb2SrI
1.0
4.4230 0.0000 0.0000
0.0000 4.4230 0.0000
0.0000 0.0000 11.9954
I Sr Rb
1 1 2
Direct
0.5000 0.5000 0.0000 I
0.5000 0.5000 0.5000 Sr
0.0000 0.0000 0.8153 Rb
0.0000 0.0000 0.1847 Rb
```

Summary:
Symmetry ... P4/mmm
Formation energy without anion corrections ... -598 meV per atom
Spin magnetization ... 0.256 μB/f.u.
DFT total energy ... -7.6 eV for the cell shown
Energy above the lowest structure with this stoichiometry ... 0.000 eV/atom
Volume ... 234.7 Å³ per cell

---

Record 6
A plane-wave DFT calculation with PBE-GGA was carried out for Ac3ErPu3Se8 after structural relaxation.

The structure in POSCAR format:
```
Ac3ErPu3Se8
1.0
8.4896 0.0000 0.0000
-4.2448 7.3536 -0.0247
0.0000 -4.8781 7.1732
Ac Er Pu Se
3 1 3 8
Direct
0.0000 0.0000 0.0000 Ac
0.0000 0.5000 0.0000 Ac
0.5000 0.5000 0.0000 Ac
0.0000 0.0000 0.5000 Er
0.5000 0.0000 0.5000 Pu
0.5000 0.5000 0.5000 Pu
0.0000 0.5000 0.5000 Pu
0.2576 0.5153 0.2729 Se
0.7424 0.4847 0.7271 Se
0.7604 0.5207 0.2732 Se
0.2396 0.4793 0.7268 Se
0.7604 0.0127 0.2732 Se
0.2396 0.9873 0.7268 Se
0.2523 0.0127 0.2732 Se
0.7477 0.9873 0.7268 Se
```

Summary:
Symmetry ... R-3m
Formation energy without anion corrections ... -1734 meV per atom
Spin magnetization ... 17.444 μB/f.u.
DFT total energy ... -113.8 eV for the cell shown
Volume ... 446.8 Å³ per cell

---

Record 7
A plane-wave DFT calculation with PBE-GGA was carried out for MnFeHIrPd after structural relaxation.

The structure in POSCAR format:
```
MnFeHIrPd
1.0
4.6613 0.0000 -0.0524
0.0000 2.7893 0.0000
-1.6017 0.0000 9.0363
Mn Fe H Ir Pd
2 2 2 2 2
Direct
0.1343 0.0000 0.3455 Mn
0.1343 0.5000 0.8455 Mn
0.4393 0.0000 0.0909 Fe
0.4393 0.5000 0.5909 Fe
0.3014 0.0000 0.7140 H
0.3014 0.5000 0.2140 H
0.6359 0.0000 0.8412 Ir
0.6359 0.5000 0.3412 Ir
0.9236 0.0000 0.5908 Pd
0.9236 0.5000 0.0908 Pd
```

Summary:
Symmetry ... Cm
Spin magnetization ... 6.725 μB/f.u.
DFT total energy ... -69.9 eV for the cell shown
Energy above the lowest structure with this stoichiometry ... 0.050 eV/atom
Volume ... 117.3 Å³ per cell

---

Record 8
A plane-wave DFT calculation with PBE-GGA was carried out for Sc3PaCd2 after structural relaxation.

The structure in POSCAR format:
```
Sc3PaCd2
1.0
-2.4402 -1.0722 1.9628
1.1511 -3.0927 -0.2584
7.2503 1.8606 10.0299
Sc Pa Cd
3 1 2
Direct
0.0000 0.0000 0.0000 Sc
0.0000 0.0000 0.6789 Sc
0.0000 0.0000 0.3211 Sc
0.5000 0.5000 0.5000 Pa
0.5000 0.5000 0.8388 Cd
0.5000 0.5000 0.1612 Cd
```

Summary:
Symmetry ... P4/mmm
Energy of formation from the pure elements ... -0.15 eV per atom
Spin magnetization ... 0.007 μB/f.u.
DFT total energy ... -31.2 eV for the cell shown
Volume ... 137.1 Å³ per cell

---

Record 9
A plane-wave DFT calculation with PBE-GGA was carried out for CrSiSeN2 after structural relaxation.

The structure in POSCAR format:
```
CrSiSeN2
1.0
3.4640 0.0000 0.0000
0.0000 3.4640 0.0000
0.0000 0.0000 6.6101
Cr Si Se N
1 1 1 2
Direct
0.5000 0.5000 0.5000 Cr
0.0000 0.0000 0.0000 Si
0.0000 0.0000 0.5000 Se
0.0000 0.5000 0.0000 N
0.5000 0.0000 0.0000 N
```

Summary:
Symmetry ... P4/mmm
Formation energy without anion corrections ... 442 meV per atom
Spin magnetization ... 3.848 μB/f.u.
DFT total energy ... -33.0 eV for the cell shown
Energy above the lowest structure with this stoichiometry ... 0.000 eV/atom
Volume ... 79.3 Å³ per cell

---

Record 10
A plane-wave DFT calculation with PBE-GGA was carried out for BaAgMo2 after structural relaxation.

The structure in POSCAR format:
```
BaAgMo2
1.0
-2.3347 2.8347 0.4781
-2.2420 -1.4099 -2.5886
-3.5629 -3.8043 5.1578
Ag Ba Mo
1 1 2
Direct
0.5000 0.5000 0.2500 Ag
0.5000 0.5000 0.7500 Ba
0.0000 0.0000 0.1026 Mo
0.0000 0.0000 0.3974 Mo
```

Summary:
Symmetry ... P4/mmm
Energy of formation from the pure elements ... 0.94 eV per atom
Spin magnetization ... 0.000 μB/f.u.
DFT total energy ... -22.7 eV for the cell shown
Energy above the lowest structure with this stoichiometry ... 0.410 eV/atom
Volume ... 100.6 Å³ per cell

---

Record 11
A plane-wave DFT calculation with PBE-GGA was carried out for ZrAl3S after structural relaxation.

The structure in POSCAR format:
```
ZrAl3S
1.0
5.3410 0.0000 0.0000
0.0000 5.3410 0.0000
0.0000 0.0000 5.3410
S Al Zr
1 3 1
Direct
0.5000 0.5000 0.5000 S
0.0000 0.5000 0.0000 Al
0.0000 0.0000 0.5000 Al
0.5000 0.0000 0.0000 Al
0.0000 0.0000 0.0000 Zr
```

Summary:
Symmetry ... Pm-3m
Formation energy without anion corrections ... 1192 meV per atom
Spin magnetization ... 0.000 μB/f.u.
DFT total energy ... -17.9 eV for the cell shown
Energy above the lowest structure with this stoichiometry ... 0.909 eV/atom
Volume ... 152.4 Å³ per cell

---

Record 12
A plane-wave DFT calculation with PBE-GGA was carried out for Ca2MgTc after structural relaxation.

The structure in POSCAR format:
```
Ca2MgTc
1.0
6.0085 -0.0346 0.0419
5.1344 3.1210 0.0419
1.6876 0.4674 5.3010
Ca Mg Tc
2 1 1
Direct
0.9650 0.9650 0.0697 Ca
0.7662 0.7662 0.7110 Ca
0.5433 0.5433 0.4970 Mg
0.2255 0.2255 0.2223 Tc
```

Summary:
Symmetry ... Cm
Energy of formation from the pure elements ... 0.39 eV per atom
Spin magnetization ... 0.569 μB/f.u.
DFT total energy ... -14.4 eV for the cell shown
Volume ... 100.1 Å³ per cell